Record 1
The following is a DFT calculation (PBE) of crystalline Nd2GaSi4Ir3 at its relaxed geometry.

Summary:
DFT total energy in eV/f.u.: -69.51
Magnetic moment in μB per cell: 0.00

Cell: 4.203 4.203 10.072 Å, 90.00 90.00 90.00°
Space group P-4m2 (No. 115)
Inequivalent atoms, fractional coordinates:
Nd (0.000, 0.500, 0.243) [2 per cell]
Ga (0.000, 0.000, 0.500) [1 per cell]
Si (0.000, 0.000, 0.000) [1 per cell]
Si (0.000, 0.500, 0.642) [2 per cell]
Si (0.500, 0.500, 0.000) [1 per cell]
Ir (0.000, 0.500, 0.879) [2 per cell]
Ir (0.500, 0.500, 0.500) [1 per cell]

---

Record 2
The following is a DFT calculation (PBE) of crystalline Ba2SmCl2O2 at its relaxed geometry.

Summary:
DFT total energy in eV/f.u.: -39.49
Magnetic moment in μB per cell: 1.13

Cell: 4.630 4.630 16.032 Å, 90.00 90.00 90.00°
Space group I4/mmm (No. 139)
Inequivalent atoms, fractional coordinates:
Ba (0.000, 0.000, 0.115) [4 per cell]
Sm (0.000, 0.000, 0.500) [2 per cell]
Cl (0.000, 0.000, 0.318) [4 per cell]
O (0.000, 0.500, 0.000) [4 per cell]